A relaxed NaLa2CuRu crystal, computed with PBE-GGA.

Cell lengths 5.388, 5.388, 5.059 Å; angles 90.00, 90.00, 90.00 degrees
Space group P4/mmm (No. 123)
Inequivalent atoms, fractional coordinates:
Na (0.000, 0.000, 0.000) x1
La (0.000, 0.500, 0.500) x2
Cu (0.500, 0.500, 0.000) x1
Ru (0.500, 0.500, 0.500) x1

Values from the calculation:
calculated density	5.26	Mg/m³
magnetization	0.00	μB/f.u.
DFT formation energy	0.059	eV/atom
Fermi-level density of states	4.51	states/eV per cell
E	-4.8499	eV/atom